Arrangement i

A plane-wave DFT calculation with GGA-PBEsol was carried out for crystalline FeReW2 at its relaxed geometry.

Output
- volume (A^3/atom) = 14.13
- symmetry = P4mm

```
FeReW2
1.0
-2.483 0.571 0.779
0.364 -1.436 2.214
2.673 6.486 3.766
Fe Re W
1 1 2
Cartesian
1.366 3.314 1.924
0.858 4.220 4.197
2.657 6.446 3.742
-0.316 1.371 2.543
```

---

Arrangement ii

A plane-wave DFT calculation with GGA-PBEsol was carried out for crystalline FeReW2 at its relaxed geometry.

Output
- volume (A^3/atom) = 14.48
- symmetry = Pm

```
FeReW2
1.0
2.654 0.000 0.000
0.000 4.348 0.000
-0.856 0.000 5.020
Fe Re W
1 1 2
Cartesian
0.908 0.000 2.492
0.027 2.174 3.759
1.801 0.000 4.991
1.759 2.174 1.309
```

---

Arrangement iii

A plane-wave DFT calculation with GGA-PBEsol was carried out for crystalline FeReW2 at its relaxed geometry.

Output
- volume (A^3/atom) = 14.38
- symmetry = F-43m

```
FeReW2
1.0
-0.629 1.550 -3.997
-3.549 -1.115 -2.223
-3.111 2.928 -0.724
Fe Re W
1 1 2
Cartesian
-3.644 1.681 -3.472
-5.466 2.522 -5.208
0.000 0.000 0.000
-1.822 0.841 -1.736
```

---

Most favorable structure: arrangement ii. The second most favorable one is 12 meV per atom above it.

---

Arrangement i

A plane-wave DFT calculation with GGA-PBEsol was carried out for crystalline Fe4Rh5 at its relaxed geometry.

Output
- volume (A^3/atom) = 12.80
- symmetry = P6_3/mcm

```
Fe4Rh5
1.0
5.088 0.000 0.000
0.000 7.232 0.000
0.000 -3.616 6.263
Fe Rh
8 10
Cartesian
0.000 0.000 0.000
2.544 0.000 0.000
3.816 -1.221 2.115
3.816 2.442 0.000
3.816 2.395 4.148
1.272 -2.395 4.148
1.272 4.790 0.000
1.272 1.221 2.115
3.816 -2.443 4.231
3.816 4.886 0.000
3.816 1.173 2.032
1.272 -1.173 2.032
1.272 2.346 0.000
1.272 2.443 4.231
0.000 0.000 4.175
2.544 3.616 2.088
0.000 3.616 2.088
2.544 0.000 4.175
```

---

Arrangement ii

A plane-wave DFT calculation with GGA-PBEsol was carried out for crystalline Fe4Rh5 at its relaxed geometry.

Output
- volume (A^3/atom) = 12.67
- symmetry = I4/mmm

```
Fe4Rh5
1.0
-0.283 -2.996 -2.218
0.936 -4.787 3.195
-5.543 -1.812 0.004
Fe Rh
4 5
Cartesian
-1.730 -4.202 -0.405
-3.159 -5.393 1.386
-3.374 -2.808 1.072
-1.232 -3.791 2.127
0.000 0.000 0.000
0.433 -5.182 0.642
-1.954 -1.603 -0.736
-3.872 -3.205 -1.479
0.220 -2.602 0.335
```

---

Most favorable structure: arrangement ii. The second most favorable one is 61 meV per atom above it.

---

Arrangement i

A plane-wave DFT calculation with GGA-PBEsol was carried out for crystalline Fe4Rh at its relaxed geometry.

Output
- volume (A^3/atom) = 11.78
- symmetry = I4/mmm

```
Fe4Rh
1.0
2.855 0.000 0.000
0.000 2.855 0.000
-1.427 -1.427 7.225
Rh Fe
1 4
Cartesian
0.000 0.000 0.000
0.000 0.000 5.677
1.427 1.427 4.303
0.000 0.000 2.923
1.427 1.427 1.548
```

---

Arrangement ii

A plane-wave DFT calculation with GGA-PBEsol was carried out for crystalline Fe4Rh at its relaxed geometry.

Output
- volume (A^3/atom) = 16.06
- symmetry = Im-3m

```
Fe4Rh
1.0
4.707 0.000 0.000
-1.569 4.438 0.000
-1.569 -2.219 3.843
Fe Rh
4 1
Cartesian
2.354 0.000 0.000
0.785 1.110 1.922
-0.785 2.219 0.000
-0.785 -1.110 1.922
0.000 0.000 0.000
```

---

Most favorable structure: arrangement i. The second most favorable one is 1086 meV per atom above it.

---

Arrangement i

A plane-wave DFT calculation with GGA-PBEsol was carried out for crystalline FeRh4 at its relaxed geometry.

Output
- volume (A^3/atom) = 12.99
- symmetry = I4/mmm

```
FeRh4
1.0
-0.851 -0.610 -2.443
2.446 -0.813 -0.649
-2.867 -7.787 4.387
Fe Rh
1 4
Cartesian
0.000 0.000 0.000
0.404 -2.325 -1.006
-0.824 -3.385 1.132
-0.448 -5.824 0.164
-1.677 -6.884 2.302
```

---

Arrangement ii

A plane-wave DFT calculation with GGA-PBEsol was carried out for crystalline FeRh4 at its relaxed geometry.

Output
- volume (A^3/atom) = 13.04
- symmetry = R-3m

```
FeRh4
1.0
2.653 0.000 0.000
1.327 2.298 0.000
1.327 0.766 10.695
Fe Rh
1 4
Cartesian
0.000 0.000 0.000
2.653 1.532 2.049
1.327 0.766 4.264
3.980 2.298 6.431
2.653 1.532 8.645
```

---

Most favorable structure: arrangement i. The second most favorable one is 10 meV per atom above it.